[1]
Sn2Sb4Pd: optimized geometry, GGA-PBE.

V ... 212 Å³/cell
Space-group type ... I4/mmm
Formation energy (no corrections) ... 244 meV per atom

Cell lengths 8.3345, 8.3345, 8.3345 Å; angles 142.67, 142.67, 53.82 degrees
Sites, in units of the cell vectors:
Sn (0.1210, 0.1210, 0.0000)
Sn (0.8790, 0.8790, 0.0000)
Sb (0.0000, 0.5000, 0.5000)
Sb (0.3189, 0.3189, 0.0000)
Sb (0.5000, 0.0000, 0.5000)
Sb (0.6811, 0.6811, 0.0000)
Pd (0.5000, 0.5000, 0.0000)

=====

[2]
AlIrAu: optimized geometry, GGA-PBE.

Calculated formation energy ... -0.305 eV per atom
Distance to the lowest polymorph of the same formula ... 72.3 meV/atom
V ... 104 Å³/cell
Space-group type ... P4/nmm

Cell lengths 4.2551, 4.2551, 5.7339 Å; angles 90.00, 90.00, 90.00 degrees
Sites, in units of the cell vectors:
Al (0.2500, 0.2500, 0.2163)
Al (0.7500, 0.7500, 0.7837)
Ir (0.2500, 0.7500, 0.0000)
Ir (0.7500, 0.2500, 0.0000)
Au (0.2500, 0.7500, 0.5000)
Au (0.7500, 0.2500, 0.5000)

=====

[3]
K2NaSn: optimized geometry, GGA-PBE.

Calculated formation energy ... 0.020 eV per atom
V ... 167 Å³/cell
Space-group type ... P4/mmm

Cell lengths 4.5004, 4.5004, 8.2345 Å; angles 90.00, 90.00, 90.00 degrees
Sites, in units of the cell vectors:
K (0.0000, 0.0000, 0.2203)
K (0.0000, 0.0000, 0.7797)
Na (0.5000, 0.5000, 0.5000)
Sn (0.5000, 0.5000, 0.0000)

=====

[4]
AcCe2TmTe5: optimized geometry, GGA-PBE.

V ... 366 Å³/cell
Space-group type ... P4/mmm
Formation energy (no corrections) ... -939 meV per atom

Cell lengths 5.4829, 5.4829, 12.1659 Å; angles 90.00, 90.00, 90.00 degrees
Sites, in units of the cell vectors:
Ac (0.0000, 0.0000, 0.0000)
Ce (0.5000, 0.5000, 0.3401)
Ce (0.5000, 0.5000, 0.6599)
Tm (0.0000, 0.0000, 0.5000)
Te (0.0000, 0.0000, 0.2565)
Te (0.0000, 0.0000, 0.7435)
Te (0.0000, 0.5000, 0.5000)
Te (0.5000, 0.0000, 0.5000)
Te (0.5000, 0.5000, 0.0000)

=====

[5]
MgSBr3: optimized geometry, GGA-PBE.

Distance to the lowest polymorph of the same formula ... 0.0 meV/atom
V ... 148 Å³/cell
Space-group type ... Pm-3m
Formation energy (no corrections) ... -199 meV per atom

Cell lengths 5.2867, 5.2867, 5.2867 Å; angles 90.00, 90.00, 90.00 degrees
Sites, in units of the cell vectors:
Mg (0.0000, 0.0000, 0.0000)
S (0.5000, 0.5000, 0.5000)
Br (0.0000, 0.0000, 0.5000)
Br (0.0000, 0.5000, 0.0000)
Br (0.5000, 0.0000, 0.0000)

=====

[6]
FeReTcRu: optimized geometry, GGA-PBE.

Calculated formation energy ... 0.194 eV per atom
V ... 57 Å³/cell
Space-group type ... F-43m

Cell lengths 4.3095, 4.3095, 4.3095 Å; angles 60.00, 60.00, 60.00 degrees
Sites, in units of the cell vectors:
Fe (0.0000, 0.0000, 0.0000)
Re (0.5000, 0.5000, 0.5000)
Tc (0.7500, 0.7500, 0.7500)
Ru (0.2500, 0.2500, 0.2500)

=====

[7]
PrYO3: optimized geometry, GGA-PBE.

V ... 188 Å³/cell
Space-group type ... P2_1/m
Formation energy (no corrections) ... -3342 meV per atom

Cell lengths 5.7992, 3.9542, 8.3205 Å; angles 90.00, 100.40, 90.00 degrees
Sites, in units of the cell vectors:
Pr (0.2269, 0.2500, 0.3994)
Pr (0.7731, 0.7500, 0.6006)
Y (0.3949, 0.2500, 0.8330)
Y (0.6051, 0.7500, 0.1670)
O (0.0647, 0.2500, 0.6561)
O (0.4281, 0.2500, 0.1152)
O (0.4454, 0.7500, 0.3830)
O (0.5546, 0.2500, 0.6170)
O (0.5719, 0.7500, 0.8848)
O (0.9353, 0.7500, 0.3439)

=====

[8]
Sr2NbP: optimized geometry, GGA-PBE.

Calculated formation energy ... 0.049 eV per atom
V ... 307 Å³/cell
Space-group type ... I-42d

Cell lengths 8.3240, 8.3240, 8.3240 Å; angles 94.86, 94.86, 146.16 degrees
Sites, in units of the cell vectors:
Sr (0.3750, 0.2125, 0.3375)
Sr (0.7875, 0.1250, 0.1625)
Sr (0.8750, 0.0375, 0.6625)
Sr (0.9625, 0.6250, 0.8375)
Nb (0.2500, 0.7500, 0.5000)
Nb (0.5000, 0.5000, 0.0000)
P (0.0000, 0.0000, 0.0000)
P (0.7500, 0.2500, 0.5000)

=====

[9]
Pm4MgAl: optimized geometry, GGA-PBE.

Calculated formation energy ... -0.126 eV per atom
Distance to the lowest polymorph of the same formula ... 0.0 meV/atom
V ... 178 Å³/cell
Space-group type ... C2/m

Cell lengths 7.0809, 7.0809, 7.3696 Å; angles 105.05, 105.05, 30.04 degrees
Sites, in units of the cell vectors:
Pm (0.1502, 0.1502, 0.3348)
Pm (0.1537, 0.1537, 0.8179)
Pm (0.8463, 0.8463, 0.1821)
Pm (0.8498, 0.8498, 0.6652)
Mg (0.5000, 0.5000, 0.0000)
Al (0.5000, 0.5000, 0.5000)

=====

[10]
K2SrBr: optimized geometry, GGA-PBE.

Distance to the lowest polymorph of the same formula ... 178.2 meV/atom
V ... 208 Å³/cell
Space-group type ... Immm
Formation energy (no corrections) ... -600 meV per atom

Cell lengths 7.9752, 7.9752, 7.9752 Å; angles 149.00, 126.60, 63.04 degrees
Sites, in units of the cell vectors:
K (0.1868, 0.1868, 0.0000)
K (0.8132, 0.8132, 0.0000)
Sr (0.5000, 0.0000, 0.5000)
Br (0.0000, 0.5000, 0.5000)

=====

[11]
KRe3Hg: optimized geometry, GGA-PBE.

Calculated formation energy ... 3.830 eV per atom
Distance to the lowest polymorph of the same formula ... 698.8 meV/atom
V ... 97 Å³/cell
Space-group type ... Pm-3m

Cell lengths 4.5980, 4.5980, 4.5980 Å; angles 90.00, 90.00, 90.00 degrees
Sites, in units of the cell vectors:
K (0.0000, 0.0000, 0.0000)
Re (0.0000, 0.0000, 0.5000)
Re (0.0000, 0.5000, 0.0000)
Re (0.5000, 0.0000, 0.0000)
Hg (0.5000, 0.5000, 0.5000)

=====

[12]
Hf3NbBr: optimized geometry, GGA-PBE.

Distance to the lowest polymorph of the same formula ... 293.7 meV/atom
V ... 137 Å³/cell
Space-group type ... Pm-3m
Formation energy (no corrections) ... 1018 meV per atom

Cell lengths 5.1574, 5.1574, 5.1574 Å; angles 90.00, 90.00, 90.00 degrees
Sites, in units of the cell vectors:
Hf (0.0000, 0.0000, 0.5000)
Hf (0.0000, 0.5000, 0.0000)
Hf (0.5000, 0.0000, 0.0000)
Nb (0.0000, 0.0000, 0.0000)
Br (0.5000, 0.5000, 0.5000)

=====

Number 1: total magnetic moment 0.00 μB/cell. Number 2: total magnetic moment 0.00 μB/cell. Number 3: total magnetic moment 0.00 μB/cell. Number 4: total magnetic moment 3.52 μB/cell. Number 5: total magnetic moment 3.00 μB/cell. Number 6: total magnetic moment 3.53 μB/cell. Number 7: total magnetic moment 0.00 μB/cell. Number 8: total magnetic moment 5.85 μB/cell. Number 9: total magnetic moment 0.00 μB/cell. Number 10: total magnetic moment 0.00 μB/cell. Number 11: total magnetic moment 2.06 μB/cell. Number 12: total magnetic moment 0.00 μB/cell.